# 1
{"formula": "ZrTa2In", "functional": "PBE", "state": "relaxed", "lattice": [[2.946, 0.000, 0.000], [0.000, 2.946, 0.000], [0.000, 0.000, 9.325]], "species": ["Zr", "In", "Ta", "Ta"], "frac_coords": [[0.000, 0.000, 0.494], [0.500, 0.500, 0.759], [0.000, 0.000, 0.002], [0.500, 0.500, 0.245]], "e_form_kj_per_mol_atoms": 9, "n_ef_per_ev_cell": 4.50, "space_group": "P4mm"}

# 2
{"formula": "PrDy3Y12", "functional": "PBE", "state": "relaxed", "lattice": [[-3.780, -1.825, -2.816], [-1.713, -2.599, 3.983], [-11.552, 15.743, 5.306]], "species": ["Dy", "Y", "Y", "Y", "Y", "Y", "Dy", "Y", "Y", "Y", "Y", "Y", "Pr", "Y", "Dy", "Y"], "frac_coords": [[0.000, 0.000, 0.500], [0.000, 0.500, 0.127], [0.500, 0.000, 0.624], [0.000, 0.500, 0.376], [0.000, 0.500, 0.873], [0.500, 0.500, 0.252], [0.000, 0.000, 0.251], [0.500, 0.500, 0.000], [0.500, 0.500, 0.748], [0.500, 0.000, 0.127], [0.500, 0.500, 0.500], [0.000, 0.500, 0.624], [0.000, 0.000, 0.000], [0.500, 0.000, 0.873], [0.000, 0.000, 0.749], [0.500, 0.000, 0.376]], "e_form_kj_per_mol_atoms": 2, "n_ef_per_ev_cell": 22.69, "space_group": "P4/mmm"}

# 3
{"formula": "Hf2SiSn2", "functional": "PBE", "state": "relaxed", "lattice": [[7.063, 0.000, 0.000], [0.000, 7.063, 0.000], [0.000, 0.000, 4.437]], "species": ["Sn", "Sn", "Si", "Sn", "Hf", "Hf", "Sn", "Hf", "Si", "Hf"], "frac_coords": [[0.852, 0.352, 0.500], [0.148, 0.648, 0.500], [0.500, 0.500, 0.000], [0.648, 0.852, 0.500], [0.335, 0.835, 0.000], [0.665, 0.165, 0.000], [0.352, 0.148, 0.500], [0.165, 0.335, 0.000], [0.000, 0.000, 0.000], [0.835, 0.665, 0.000]], "n_ef_per_ev_cell": 4.96, "space_group": "P4/mbm", "e_form_raw_ev_per_atom": -0.250}

# 4
{"formula": "RbIBrCl2", "functional": "PBE", "state": "relaxed", "lattice": [[5.664, 0.000, 0.000], [0.000, 5.664, 0.000], [0.000, 0.000, 5.922]], "species": ["Rb", "Cl", "I", "Br", "Cl"], "frac_coords": [[0.500, 0.500, 0.500], [0.000, 0.500, 0.000], [0.000, 0.000, 0.000], [0.000, 0.000, 0.500], [0.500, 0.000, 0.000]], "n_ef_per_ev_cell": 2.32, "space_group": "P4/mmm", "e_form_raw_ev_per_atom": -0.741}

# 5
{"formula": "Ba2SnSe2", "functional": "PBE", "state": "relaxed", "lattice": [[8.704, 0.000, 0.000], [0.000, 8.704, 0.000], [0.000, 0.000, 4.400]], "species": ["Se", "Se", "Ba", "Sn", "Ba", "Ba", "Sn", "Se", "Ba", "Se"], "frac_coords": [[0.846, 0.654, 0.000], [0.654, 0.154, 0.000], [0.844, 0.344, 0.500], [0.000, 0.000, 0.000], [0.344, 0.156, 0.500], [0.156, 0.656, 0.500], [0.500, 0.500, 0.000], [0.346, 0.846, 0.000], [0.656, 0.844, 0.500], [0.154, 0.346, 0.000]], "n_ef_per_ev_cell": 5.25, "space_group": "P4/mbm", "e_form_raw_ev_per_atom": -1.321}

# 6
{"formula": "SrCd3Ni", "functional": "PBE", "state": "relaxed", "lattice": [[5.541, 0.088, -0.091], [-0.046, 5.991, 3.136], [-0.231, -0.018, 7.238]], "species": ["Cd", "Sr", "Sr", "Cd", "Cd", "Cd", "Ni", "Cd", "Cd", "Ni"], "frac_coords": [[0.510, 0.770, 0.182], [0.350, 0.517, 0.694], [0.339, 0.207, 0.309], [0.845, 0.862, 0.502], [0.844, 0.152, 0.003], [0.179, 0.954, 0.821], [0.647, 0.984, 0.759], [0.845, 0.362, 0.502], [0.846, 0.572, 0.000], [0.042, 0.740, 0.245]], "e_form_kj_per_mol_atoms": -16, "n_ef_per_ev_cell": 3.98, "space_group": "P-1"}

# 7
{"formula": "LiMn2Bi", "functional": "PBE", "state": "relaxed", "lattice": [[3.728, 0.000, 0.000], [0.000, 3.728, 0.000], [1.864, 1.864, 9.116]], "species": ["Li", "Li", "Bi", "Bi", "Mn", "Mn", "Mn", "Mn"], "frac_coords": [[0.250, 0.750, 0.500], [0.500, 0.500, 0.000], [0.000, 0.000, 0.000], [0.750, 0.250, 0.500], [0.875, 0.469, 0.750], [0.219, 0.125, 0.250], [0.375, 0.781, 0.750], [0.531, 0.625, 0.250]], "e_form_kj_per_mol_atoms": 65, "n_ef_per_ev_cell": 7.40, "space_group": "I-42d"}

# 8
{"formula": "MgBrCl2", "functional": "PBE", "state": "relaxed", "lattice": [[-3.161, -5.069, -4.303], [6.607, -2.928, -1.404], [1.227, -6.972, 1.014]], "species": ["Cl", "Mg", "Cl", "Cl", "Cl", "Br", "Br", "Mg"], "frac_coords": [[0.375, 0.510, 0.750], [0.250, 0.750, 0.500], [0.875, 0.740, 0.750], [0.490, 0.125, 0.250], [0.260, 0.625, 0.250], [0.000, 0.000, 0.000], [0.750, 0.250, 0.500], [0.500, 0.500, 0.000]], "n_ef_per_ev_cell": 13.81, "space_group": "I-42d", "e_form_raw_ev_per_atom": -0.998}

Repeat the sixth record exactly.
{"formula": "SrCd3Ni", "functional": "PBE", "state": "relaxed", "lattice": [[5.541, 0.088, -0.091], [-0.046, 5.991, 3.136], [-0.231, -0.018, 7.238]], "species": ["Cd", "Sr", "Sr", "Cd", "Cd", "Cd", "Ni", "Cd", "Cd", "Ni"], "frac_coords": [[0.510, 0.770, 0.182], [0.350, 0.517, 0.694], [0.339, 0.207, 0.309], [0.845, 0.862, 0.502], [0.844, 0.152, 0.003], [0.179, 0.954, 0.821], [0.647, 0.984, 0.759], [0.845, 0.362, 0.502], [0.846, 0.572, 0.000], [0.042, 0.740, 0.245]], "e_form_kj_per_mol_atoms": -16, "n_ef_per_ev_cell": 3.98, "space_group": "P-1"}

Please write out number 7 again, unchanged.
{"formula": "LiMn2Bi", "functional": "PBE", "state": "relaxed", "lattice": [[3.728, 0.000, 0.000], [0.000, 3.728, 0.000], [1.864, 1.864, 9.116]], "species": ["Li", "Li", "Bi", "Bi", "Mn", "Mn", "Mn", "Mn"], "frac_coords": [[0.250, 0.750, 0.500], [0.500, 0.500, 0.000], [0.000, 0.000, 0.000], [0.750, 0.250, 0.500], [0.875, 0.469, 0.750], [0.219, 0.125, 0.250], [0.375, 0.781, 0.750], [0.531, 0.625, 0.250]], "e_form_kj_per_mol_atoms": 65, "n_ef_per_ev_cell": 7.40, "space_group": "I-42d"}